No. 1
A plane-wave DFT calculation with GGA-PBE was carried out for a geometry-optimized Sr5PrTe6 structure.

a b c (Å): 8.1438 8.1402 8.1383
angles (deg): 59.99 80.41 70.54
Closest atoms and distances in Å follow each position.
Fractional coordinates of all 12 atoms:
Sr (0.0000, 0.3336, 0.3327)  6 Te 3.33
Te (0.2457, 0.5916, 0.3265)  1 Pr 3.26, 5 Sr 3.32-3.37
Te (0.2457, 0.9181, 0.6735)  1 Pr 3.26, 5 Sr 3.32-3.37
Te (0.2467, 0.2440, 0.0000)  1 Pr 3.26, 5 Sr 3.33-3.39
Sr (0.5000, 0.1686, 0.6628)  6 Te 3.32-3.37
Sr (0.5000, 0.5000, 0.0000)  6 Te 3.32-3.39
Te (0.7543, 0.4084, 0.6735)  1 Pr 3.26, 5 Sr 3.32-3.37
Sr (0.5000, 0.8314, 0.3372)  6 Te 3.32-3.37
Pr (0.0000, 0.0000, 0.0000)  6 Te 3.26
Sr (0.0000, 0.6664, 0.6673)  6 Te 3.33
Te (0.7533, 0.7560, 0.0000)  1 Pr 3.26, 5 Sr 3.33-3.39
Te (0.7543, 0.0819, 0.3265)  1 Pr 3.26, 5 Sr 3.32-3.37

Properties
The calculation puts the formation energy from raw total energies at -1671 meV/atom.

***

No. 2
A plane-wave DFT calculation with GGA-PBE was carried out for a geometry-optimized SrPr4Te5 structure.

a b c (Å): 4.5620 4.5620 16.4886
angles (deg): 97.95 97.95 90.00
Closest atoms and distances in Å follow each position.
Fractional coordinates of all 10 atoms:
Pr (0.2006, 0.2006, 0.4012)  6 Te 3.20-3.23
Te (0.1009, 0.1009, 0.2019)  5 Pr 3.22-3.23, 1 Sr 3.26
Te (0.5000, 0.5000, 0.0000)  4 Sr 3.23, 2 Pr 3.31
Pr (0.7994, 0.7994, 0.5988)  6 Te 3.20-3.23
Pr (0.6025, 0.6025, 0.2050)  6 Te 3.17-3.31
Te (0.8991, 0.8991, 0.7981)  5 Pr 3.22-3.23, 1 Sr 3.26
Te (0.2994, 0.2994, 0.5988)  6 Pr 3.17-3.23
Pr (0.3975, 0.3975, 0.7950)  6 Te 3.17-3.31
Te (0.7006, 0.7006, 0.4012)  6 Pr 3.17-3.23
Sr (0.0000, 0.0000, 0.0000)  6 Te 3.23-3.26

Properties
The calculation puts the formation energy from raw total energies at -1487 meV/atom.

***

no.,raw total energy (eV/atom)
1,-4.3411
2,-5.1376